# NaNiBr

Crystalline NaNiBr at its relaxed geometry (GGA-PBE, Alexandria).

* relative energy among the computed polymorphs: 357 meV per atom
* E_form (uncorrected): -0.12 eV per formula unit

Cell and atoms, written as CIF:
```
data_NaNiBr
_chemical_formula_sum 'Na4 Ni4 Br4'
_cell_length_a 8.698
_cell_length_b 9.028
_cell_length_c 3.917
_cell_angle_alpha 90.00
_cell_angle_beta 90.00
_cell_angle_gamma 90.00
_space_group_name_H-M_alt 'I m m a'
_space_group_IT_number 74
_space_group_name_Hall '-I 2b 2'
loop_
_atom_site_label
_atom_site_type_symbol
_atom_site_fract_x
_atom_site_fract_y
_atom_site_fract_z
_atom_site_occupancy
Na1 Na 0.000 0.000 0.000 1
Ni1 Ni 0.000 0.250 0.403 1
Br1 Br 0.250 0.250 0.250 1
```

=====

# Na2NiBr4

Crystalline Na2NiBr4 at its relaxed geometry (GGA-PBE, Alexandria).

* relative energy among the computed polymorphs: 0 meV per atom
* E_form (uncorrected): -6.68 eV per formula unit

Cell and atoms, written as CIF:
```
data_Na2NiBr4
_chemical_formula_sum 'Na4 Ni2 Br8'
_cell_length_a 7.114
_cell_length_b 7.114
_cell_length_c 7.949
_cell_angle_alpha 90.00
_cell_angle_beta 90.00
_cell_angle_gamma 90.00
_space_group_name_H-M_alt 'I -4 2 m'
_space_group_IT_number 121
_space_group_name_Hall 'I -4 2'
loop_
_atom_site_label
_atom_site_type_symbol
_atom_site_fract_x
_atom_site_fract_y
_atom_site_fract_z
_atom_site_occupancy
Na1 Na 0.000 0.500 0.250 1
Ni1 Ni 0.000 0.000 0.000 1
Br1 Br 0.232 0.232 0.998 1
```